Entry 1:
# Nb2SnSe | Alexandria | PBEsol | optimized geometry
data_Nb2SnSe
_space_group_name_H-M_alt 'F m -3 m'
_space_group_IT_number 225
_space_group_name_Hall '-F 4 2 3'
_cell_length_a 6.609
_cell_length_b 6.609
_cell_length_c 6.609
_cell_angle_alpha 90.00
_cell_angle_beta 90.00
_cell_angle_gamma 90.00
loop_
_atom_site_label
_atom_site_type_symbol
_atom_site_fract_x
_atom_site_fract_y
_atom_site_fract_z
Nb1 Nb 0.250 0.250 0.250
Sn1 Sn 0.000 0.000 0.000
Se1 Se 0.000 0.000 0.500
# D(E_F), states/eV per atom: 0.548
# E_form (uncorrected), eV/atom: -0.138

***

Entry 2:
# SrNbSe3 | Alexandria | PBEsol | optimized geometry
data_SrNbSe3
_space_group_name_H-M_alt 'P m -3 m'
_space_group_IT_number 221
_space_group_name_Hall '-P 4 2 3'
_cell_length_a 5.044
_cell_length_b 5.044
_cell_length_c 5.044
_cell_angle_alpha 90.00
_cell_angle_beta 90.00
_cell_angle_gamma 90.00
loop_
_atom_site_label
_atom_site_type_symbol
_atom_site_fract_x
_atom_site_fract_y
_atom_site_fract_z
Sr1 Sr 0.000 0.000 0.000
Nb1 Nb 0.500 0.500 0.500
Se1 Se 0.000 0.500 0.500
# D(E_F), states/eV per atom: 0.286
# E_form (uncorrected), eV/atom: -1.047

***

Entry 3:
# Sr2NbSe2 | Alexandria | PBEsol | optimized geometry
data_Sr2NbSe2
_space_group_name_H-M_alt 'I 4/m m m'
_space_group_IT_number 139
_space_group_name_Hall '-I 4 2'
_cell_length_a 6.113
_cell_length_b 6.113
_cell_length_c 8.776
_cell_angle_alpha 90.00
_cell_angle_beta 90.00
_cell_angle_gamma 90.00
loop_
_atom_site_label
_atom_site_type_symbol
_atom_site_fract_x
_atom_site_fract_y
_atom_site_fract_z
Sr1 Sr 0.000 0.500 0.250
Nb1 Nb 0.000 0.000 0.000
Se1 Se 0.000 0.000 0.287
# D(E_F), states/eV per atom: 0.726
# E_form (uncorrected), eV/atom: -0.567

***

Entry 4:
# NbTcSe3 | Alexandria | PBEsol | optimized geometry
data_NbTcSe3
_space_group_name_H-M_alt 'P m -3 m'
_space_group_IT_number 221
_space_group_name_Hall '-P 4 2 3'
_cell_length_a 4.761
_cell_length_b 4.761
_cell_length_c 4.761
_cell_angle_alpha 90.00
_cell_angle_beta 90.00
_cell_angle_gamma 90.00
loop_
_atom_site_label
_atom_site_type_symbol
_atom_site_fract_x
_atom_site_fract_y
_atom_site_fract_z
Nb1 Nb 0.000 0.000 0.000
Tc1 Tc 0.500 0.500 0.500
Se1 Se 0.000 0.500 0.500
# D(E_F), states/eV per atom: 1.160
# E_form (uncorrected), eV/atom: 0.709

***

Entry 5:
# NbTeSe3 | Alexandria | PBEsol | optimized geometry
data_NbTeSe3
_space_group_name_H-M_alt 'P m -3 m'
_space_group_IT_number 221
_space_group_name_Hall '-P 4 2 3'
_cell_length_a 4.981
_cell_length_b 4.981
_cell_length_c 4.981
_cell_angle_alpha 90.00
_cell_angle_beta 90.00
_cell_angle_gamma 90.00
loop_
_atom_site_label
_atom_site_type_symbol
_atom_site_fract_x
_atom_site_fract_y
_atom_site_fract_z
Nb1 Nb 0.000 0.000 0.000
Te1 Te 0.500 0.500 0.500
Se1 Se 0.000 0.000 0.500
# D(E_F), states/eV per atom: 1.170
# E_form (uncorrected), eV/atom: 0.019

***

Entry 6:
# TiNb2TeSe | Alexandria | PBEsol | optimized geometry
data_TiNb2TeSe
_space_group_name_H-M_alt 'P 4/m m m'
_space_group_IT_number 123
_space_group_name_Hall '-P 4 2'
_cell_length_a 4.680
_cell_length_b 4.680
_cell_length_c 5.395
_cell_angle_alpha 90.00
_cell_angle_beta 90.00
_cell_angle_gamma 90.00
loop_
_atom_site_label
_atom_site_type_symbol
_atom_site_fract_x
_atom_site_fract_y
_atom_site_fract_z
Ti1 Ti 0.000 0.000 0.000
Nb1 Nb 0.000 0.500 0.500
Te1 Te 0.500 0.500 0.000
Se1 Se 0.500 0.500 0.500
# D(E_F), states/eV per atom: 1.402
# E_form (uncorrected), eV/atom: 0.982

***

Entry 7:
# TiNb3Se6 | Alexandria | PBEsol | optimized geometry
data_TiNb3Se6
_space_group_name_H-M_alt 'P 63 2 2'
_space_group_IT_number 182
_space_group_name_Hall 'P 6c 2c'
_cell_length_a 5.9645
_cell_length_b 5.9645
_cell_length_c 12.8725
_cell_angle_alpha 90.00
_cell_angle_beta 90.00
_cell_angle_gamma 120.00
loop_
_atom_site_label
_atom_site_type_symbol
_atom_site_fract_x
_atom_site_fract_y
_atom_site_fract_z
Ti1 Ti 0.3333 0.6667 0.2500
Nb1 Nb 0.0000 0.0000 0.0000
Nb2 Nb 0.3333 0.6667 0.0004
Se1 Se 0.0055 0.3336 0.8697
# D(E_F), states/eV per atom: 0.444
# E_form (uncorrected), eV/atom: -1.032

***

Entry 8:
# TiNb3Se | Alexandria | PBEsol | optimized geometry
data_TiNb3Se
_space_group_name_H-M_alt 'P m -3 m'
_space_group_IT_number 221
_space_group_name_Hall '-P 4 2 3'
_cell_length_a 4.688
_cell_length_b 4.688
_cell_length_c 4.688
_cell_angle_alpha 90.00
_cell_angle_beta 90.00
_cell_angle_gamma 90.00
loop_
_atom_site_label
_atom_site_type_symbol
_atom_site_fract_x
_atom_site_fract_y
_atom_site_fract_z
Ti1 Ti 0.000 0.000 0.000
Nb1 Nb 0.000 0.500 0.500
Se1 Se 0.500 0.500 0.500
# D(E_F), states/eV per atom: 1.070
# E_form (uncorrected), eV/atom: 0.615

***

Entry 9:
# Nb9TlSe12 | Alexandria | PBEsol | optimized geometry
data_Nb9TlSe12
_space_group_name_H-M_alt 'R -3'
_space_group_IT_number 148
_space_group_name_Hall '-R 3'
_cell_length_a 17.3284
_cell_length_b 17.3284
_cell_length_c 10.3633
_cell_angle_alpha 90.00
_cell_angle_beta 90.00
_cell_angle_gamma 120.00
loop_
_atom_site_label
_atom_site_type_symbol
_atom_site_fract_x
_atom_site_fract_y
_atom_site_fract_z
Nb1 Nb 0.0438 0.4680 0.0831
Nb2 Nb 0.0444 0.4679 0.4162
Nb3 Nb 0.0447 0.4683 0.7507
Tl1 Tl 0.0000 0.0000 0.0000
Tl2 Tl 0.0000 0.0000 0.5000
Se1 Se 0.9998 0.3333 0.2500
Se2 Se 0.0724 0.8672 0.2504
Se3 Se 0.0728 0.8663 0.5837
Se4 Se 0.0729 0.8666 0.9159
# D(E_F), states/eV per atom: 0.381
# E_form (uncorrected), eV/atom: -0.881

***

Entry 10:
# Nb6TlSe8 | Alexandria | PBEsol | optimized geometry
data_Nb6TlSe8
_space_group_name_H-M_alt 'P -3'
_space_group_IT_number 147
_space_group_name_Hall '-P 3'
_cell_length_a 10.0326
_cell_length_b 10.0326
_cell_length_c 3.4517
_cell_angle_alpha 90.00
_cell_angle_beta 90.00
_cell_angle_gamma 120.00
loop_
_atom_site_label
_atom_site_type_symbol
_atom_site_fract_x
_atom_site_fract_y
_atom_site_fract_z
Nb1 Nb 0.1077 0.6202 0.2485
Tl1 Tl 0.0000 0.0000 0.0000
Se1 Se 0.0611 0.3400 0.2534
Se2 Se 0.3333 0.6667 0.7489
# D(E_F), states/eV per atom: 0.409
# E_form (uncorrected), eV/atom: -0.860

***

Entry 11:
# Nb2VSe4 | Alexandria | PBEsol | optimized geometry
data_Nb2VSe4
_space_group_name_H-M_alt 'C 1 2/m 1'
_space_group_IT_number 12
_space_group_name_Hall '-C 2y'
_cell_length_a 13.515
_cell_length_b 3.448
_cell_length_c 6.296
_cell_angle_alpha 90.00
_cell_angle_beta 115.56
_cell_angle_gamma 90.00
loop_
_atom_site_label
_atom_site_type_symbol
_atom_site_fract_x
_atom_site_fract_y
_atom_site_fract_z
Nb1 Nb 0.243 0.000 0.179
V1 V 0.000 0.500 0.500
Se1 Se 0.098 0.500 0.940
Se2 Se 0.135 0.000 0.472
# D(E_F), states/eV per atom: 0.466
# E_form (uncorrected), eV/atom: -0.851

***

Entry 12:
# Nb12ZnSe16 | Alexandria | PBEsol | optimized geometry
data_Nb12ZnSe16
_space_group_name_H-M_alt 'P -1'
_space_group_IT_number 2
_space_group_name_Hall '-P 1'
_cell_length_a 6.888
_cell_length_b 9.985
_cell_length_c 10.562
_cell_angle_alpha 61.80
_cell_angle_beta 70.97
_cell_angle_gamma 90.00
loop_
_atom_site_label
_atom_site_type_symbol
_atom_site_fract_x
_atom_site_fract_y
_atom_site_fract_z
Nb1 Nb 0.062 0.390 0.122
Nb2 Nb 0.071 0.013 0.610
Nb3 Nb 0.133 0.122 0.988
Nb4 Nb 0.371 0.877 0.013
Nb5 Nb 0.431 0.989 0.390
Nb6 Nb 0.434 0.610 0.878
Zn1 Zn 0.500 0.500 0.500
Se1 Se 0.014 0.839 0.221
Se2 Se 0.095 0.779 0.561
Se3 Se 0.207 0.439 0.839
Se4 Se 0.208 0.834 0.834
Se5 Se 0.291 0.167 0.167
Se6 Se 0.295 0.560 0.160
Se7 Se 0.406 0.223 0.439
Se8 Se 0.486 0.161 0.777
# D(E_F), states/eV per atom: 0.519
# E_form (uncorrected), eV/atom: -0.850

***

Entry 13:
# ZrNbSe2 | Alexandria | PBEsol | optimized geometry
data_ZrNbSe2
_space_group_name_H-M_alt 'F m -3 m'
_space_group_IT_number 225
_space_group_name_Hall '-F 4 2 3'
_cell_length_a 6.518
_cell_length_b 6.518
_cell_length_c 6.518
_cell_angle_alpha 90.00
_cell_angle_beta 90.00
_cell_angle_gamma 90.00
loop_
_atom_site_label
_atom_site_type_symbol
_atom_site_fract_x
_atom_site_fract_y
_atom_site_fract_z
Zr1 Zr 0.000 0.000 0.000
Nb1 Nb 0.000 0.000 0.500
Se1 Se 0.250 0.250 0.250
# D(E_F), states/eV per atom: 1.168
# E_form (uncorrected), eV/atom: -0.833

***

Entry 14:
# Nb5Si3 | Alexandria | PBEsol | optimized geometry
data_Nb5Si3
_space_group_name_H-M_alt 'P 63/m c m'
_space_group_IT_number 193
_space_group_name_Hall '-P 6c 2'
_cell_length_a 7.5168
_cell_length_b 7.5168
_cell_length_c 5.2439
_cell_angle_alpha 90.00
_cell_angle_beta 90.00
_cell_angle_gamma 120.00
loop_
_atom_site_label
_atom_site_type_symbol
_atom_site_fract_x
_atom_site_fract_y
_atom_site_fract_z
Nb1 Nb 0.0000 0.2495 0.2500
Nb2 Nb 0.3333 0.6667 0.0000
Si1 Si 0.0000 0.3933 0.7500
# D(E_F), states/eV per atom: 0.759
# E_form (uncorrected), eV/atom: -0.633
# Polymorph energy (0 for the lowest one), eV per atom: 0.064

***

Entry 15:
# Nb5Si3 | Alexandria | PBEsol | optimized geometry
data_Nb5Si3
_space_group_name_H-M_alt 'I 4/m c m'
_space_group_IT_number 140
_space_group_name_Hall '-I 4 2c'
_cell_length_a 10.001
_cell_length_b 10.001
_cell_length_c 5.052
_cell_angle_alpha 90.00
_cell_angle_beta 90.00
_cell_angle_gamma 90.00
loop_
_atom_site_label
_atom_site_type_symbol
_atom_site_fract_x
_atom_site_fract_y
_atom_site_fract_z
Nb1 Nb 0.000 0.500 0.250
Nb2 Nb 0.076 0.219 0.000
Si1 Si 0.000 0.000 0.250
Si2 Si 0.165 0.335 0.500
# D(E_F), states/eV per atom: 0.493
# E_form (uncorrected), eV/atom: -0.697
# Polymorph energy (0 for the lowest one), eV per atom: 0.000

***

Entry 16:
# Nb3Si | Alexandria | PBEsol | optimized geometry
data_Nb3Si
_space_group_name_H-M_alt 'P 42/n'
_space_group_IT_number 86
_cell_length_a 10.182
_cell_length_b 10.182
_cell_length_c 5.164
_cell_angle_alpha 90.00
_cell_angle_beta 90.00
_cell_angle_gamma 90.00
loop_
_space_group_symop_operation_xyz
'x,y,z'
'-x,-y,-z'
'-y,x+1/2,z+1/2'
'y,-x+1/2,-z+1/2'
'-x+1/2,-y+1/2,z'
'x+1/2,y+1/2,-z'
'y+1/2,-x,z+1/2'
'-y+1/2,x,-z+1/2'
loop_
_atom_site_label
_atom_site_type_symbol
_atom_site_fract_x
_atom_site_fract_y
_atom_site_fract_z
Nb1 Nb 0.037 0.559 0.237
Nb2 Nb 0.104 0.235 0.023
Nb3 Nb 0.153 0.665 0.717
Si1 Si 0.044 0.223 0.529
# D(E_F), states/eV per atom: 0.662
# E_form (uncorrected), eV/atom: -0.467

***

Entry 17:
# NbSi2 | Alexandria | PBEsol | optimized geometry
data_NbSi2
_space_group_name_H-M_alt 'P 64 2 2'
_space_group_IT_number 181
_space_group_name_Hall 'P 64 2 (0 0 2)'
_cell_length_a 4.7716
_cell_length_b 4.7716
_cell_length_c 6.5875
_cell_angle_alpha 90.00
_cell_angle_beta 90.00
_cell_angle_gamma 120.00
loop_
_atom_site_label
_atom_site_type_symbol
_atom_site_fract_x
_atom_site_fract_y
_atom_site_fract_z
Nb1 Nb 0.0000 0.5000 0.3333
Si1 Si 0.1597 0.3193 0.0000
# D(E_F), states/eV per atom: 0.406
# E_form (uncorrected), eV/atom: -0.655

***

Entry 18:
# Nb5SiSn2 | Alexandria | PBEsol | optimized geometry
data_Nb5SiSn2
_space_group_name_H-M_alt 'I 4/m c m'
_space_group_IT_number 140
_space_group_name_Hall '-I 4 2c'
_cell_length_a 10.548
_cell_length_b 10.548
_cell_length_c 5.110
_cell_angle_alpha 90.00
_cell_angle_beta 90.00
_cell_angle_gamma 90.00
loop_
_atom_site_label
_atom_site_type_symbol
_atom_site_fract_x
_atom_site_fract_y
_atom_site_fract_z
Nb1 Nb 0.000 0.500 0.250
Nb2 Nb 0.070 0.211 0.000
Si1 Si 0.000 0.000 0.250
Sn1 Sn 0.169 0.331 0.500
# D(E_F), states/eV per atom: 0.590
# E_form (uncorrected), eV/atom: -0.398

***

Entry 19:
# SrNbSi2 | Alexandria | PBEsol | optimized geometry
data_SrNbSi2
_space_group_name_H-M_alt 'F m -3 m'
_space_group_IT_number 225
_space_group_name_Hall '-F 4 2 3'
_cell_length_a 6.779
_cell_length_b 6.779
_cell_length_c 6.779
_cell_angle_alpha 90.00
_cell_angle_beta 90.00
_cell_angle_gamma 90.00
loop_
_atom_site_label
_atom_site_type_symbol
_atom_site_fract_x
_atom_site_fract_y
_atom_site_fract_z
Sr1 Sr 0.000 0.000 0.000
Nb1 Nb 0.000 0.000 0.500
Si1 Si 0.250 0.250 0.250
# D(E_F), states/eV per atom: 1.167
# E_form (uncorrected), eV/atom: 0.215

***

Entry 20:
# Ta2NbSi2 | Alexandria | PBEsol | optimized geometry
data_Ta2NbSi2
_space_group_name_H-M_alt 'P 4/m b m'
_space_group_IT_number 127
_space_group_name_Hall '-P 4 2ab'
_cell_length_a 6.683
_cell_length_b 6.683
_cell_length_c 3.480
_cell_angle_alpha 90.00
_cell_angle_beta 90.00
_cell_angle_gamma 90.00
loop_
_atom_site_label
_atom_site_type_symbol
_atom_site_fract_x
_atom_site_fract_y
_atom_site_fract_z
Ta1 Ta 0.170 0.330 0.000
Nb1 Nb 0.000 0.000 0.500
Si1 Si 0.128 0.628 0.500
# D(E_F), states/eV per atom: 0.632
# E_form (uncorrected), eV/atom: -0.628

***

Looking at uncorrected energy for the records above, in order, we have -7.58; -5.89; -5.01; -6.02; -5.16; -6.49; -7.42; -8.31; -7.53; -7.42; -7.52; -7.51; -7.74; -9.55; -9.62; -10.02; -8.09; -8.94; -5.82; -10.11 eV per atom.